# 1
Compound: KRbCo2S4
Source: OQMD via LeMat-Bulk
Functional: PBE
Structure: optimized geometry

```
8
Lattice="3.505 -5.685 0.000 3.505 5.685 0.000 -1.947 0.000 4.839" Properties=species:S:1:pos:R:3 pbc="T T T"
K 0.000 0.000 0.000
Rb 2.531 2.409 2.420
Co 3.505 -1.617 0.000
Co 2.531 -1.611 2.420
S 0.902 -0.422 3.173
S 1.912 -2.831 0.777
S 4.160 -0.422 1.666
S 3.150 -2.831 4.062
```

Computed properties:
* V: 24.10 A^3/atom
* SG: C2
* final energy: -4.769 eV/atom
* spin magnetization: 1.21 Bohr magnetons per cell

---

# 2
Compound: KCo2S2
Source: OQMD via LeMat-Bulk
Functional: PBE
Structure: optimized geometry

```
5
Lattice="-1.863 1.863 6.335 1.863 -1.863 6.335 1.863 1.863 -6.335" Properties=species:S:1:pos:R:3 pbc="T T T"
K 0.000 0.000 0.000
Co 1.863 0.000 3.168
Co 0.000 1.863 3.168
S 0.000 0.000 4.369
S 0.000 0.000 8.301
```

Computed properties:
* V: 17.58 A^3/atom
* SG: I4/mmm
* final energy: -5.314 eV/atom
* spin magnetization: 0.02 Bohr magnetons per cell

---

# 3
Compound: KCo2S4
Source: OQMD via LeMat-Bulk
Functional: PBE
Structure: optimized geometry

```
14
Lattice="0.000 5.156 5.156 5.156 0.000 5.156 5.156 5.156 0.000" Properties=species:S:1:pos:R:3 pbc="T T T"
K 1.289 1.289 1.289
K 9.022 9.022 9.022
Co 5.156 2.578 2.578
Co 2.578 5.156 2.578
Co 2.578 2.578 5.156
Co 5.156 5.156 5.156
S 2.875 2.875 2.875
S 4.858 4.858 2.875
S 4.858 2.875 4.858
S 7.436 5.453 5.453
S 2.875 4.858 4.858
S 5.453 7.436 5.453
S 5.453 5.453 7.436
S 7.436 7.436 7.436
```

Computed properties:
* V: 19.58 A^3/atom
* SG: Fd-3m
* final energy: -4.823 eV/atom
* spin magnetization: 2.00 Bohr magnetons per cell

---

# 4
Compound: KScCoS3
Source: OQMD via LeMat-Bulk
Functional: PBE
Structure: optimized geometry

```
12
Lattice="8.559 0.000 0.000 0.000 3.722 0.000 -3.182 0.000 8.533" Properties=species:S:1:pos:R:3 pbc="T T T"
K 1.033 0.931 1.997
K 4.343 2.792 6.536
Sc 0.102 2.792 7.352
Sc 5.275 0.931 1.181
Co -1.222 0.931 5.080
Co 6.599 2.792 3.453
S -1.689 0.931 7.286
S -0.100 2.792 4.617
S 3.486 2.792 1.346
S 1.890 0.931 7.187
S 5.477 0.931 3.916
S 7.066 2.792 1.247
```

Computed properties:
* V: 22.65 A^3/atom
* SG: P2_1/m
* final energy: -5.739 eV/atom
* spin magnetization: 3.67 Bohr magnetons per cell

---

# 5
Compound: KSmCoS3
Source: OQMD via LeMat-Bulk
Functional: PBE
Structure: optimized geometry

```
12
Lattice="8.814 0.000 0.000 0.000 3.930 0.000 -2.609 0.000 8.889" Properties=species:S:1:pos:R:3 pbc="T T T"
K 1.161 0.983 2.083
K 5.043 2.948 6.806
Sm 0.661 2.948 7.593
Sm 5.543 0.983 1.296
Co -0.872 0.983 5.228
Co 7.076 2.948 3.661
S -1.292 0.983 7.473
S 0.155 2.948 4.730
S 3.575 2.948 1.445
S 2.629 0.983 7.444
S 6.049 0.983 4.159
S 7.497 2.948 1.416
```

Computed properties:
* V: 25.66 A^3/atom
* SG: P2_1/m
* final energy: -5.496 eV/atom
* spin magnetization: 3.73 Bohr magnetons per cell

---

# 6
Compound: KTbCoS3
Source: OQMD via LeMat-Bulk
Functional: PBE
Structure: optimized geometry

```
12
Lattice="8.795 0.000 0.000 0.000 3.880 0.000 -2.709 0.000 8.766" Properties=species:S:1:pos:R:3 pbc="T T T"
K 1.122 0.970 2.009
K 4.964 2.910 6.758
Tb 0.592 2.910 7.494
Tb 5.494 0.970 1.272
Co -0.926 0.970 5.164
Co 7.012 2.910 3.602
S -1.330 0.970 7.409
S 0.119 2.910 4.672
S 3.570 2.910 1.422
S 2.516 0.970 7.344
S 5.967 0.970 4.095
S 7.416 2.910 1.357
```

Computed properties:
* V: 24.93 A^3/atom
* SG: P2_1/m
* final energy: -5.505 eV/atom
* spin magnetization: 3.71 Bohr magnetons per cell

---

Repeat the third record exactly.
Compound: KCo2S4
Source: OQMD via LeMat-Bulk
Functional: PBE
Structure: optimized geometry

```
14
Lattice="0.000 5.156 5.156 5.156 0.000 5.156 5.156 5.156 0.000" Properties=species:S:1:pos:R:3 pbc="T T T"
K 1.289 1.289 1.289
K 9.022 9.022 9.022
Co 5.156 2.578 2.578
Co 2.578 5.156 2.578
Co 2.578 2.578 5.156
Co 5.156 5.156 5.156
S 2.875 2.875 2.875
S 4.858 4.858 2.875
S 4.858 2.875 4.858
S 7.436 5.453 5.453
S 2.875 4.858 4.858
S 5.453 7.436 5.453
S 5.453 5.453 7.436
S 7.436 7.436 7.436
```

Computed properties:
* V: 19.58 A^3/atom
* SG: Fd-3m
* final energy: -4.823 eV/atom
* spin magnetization: 2.00 Bohr magnetons per cell